# CoAs2Br2O3 (PBE with a Hubbard U, relaxed)
# V ... 18.7 A^3/atom
# Raw total energy ... -5.009 eV per atom
data_CoAs2Br2O3
_chemical_formula_sum 'Co2 As4 Br4 O6'
_cell_length_a 5.2553
_cell_length_b 7.4981
_cell_length_c 7.8008
_cell_angle_alpha 86.77
_cell_angle_beta 80.45
_cell_angle_gamma 80.82
_space_group_name_H-M_alt 'P -1'
_space_group_IT_number 2
_space_group_name_Hall '-P 1'
loop_
_atom_site_label
_atom_site_fract_x
_atom_site_fract_y
_atom_site_fract_z
_atom_site_occupancy
Co1 0.0100 0.4911 0.2901 1
As1 0.4105 0.6903 0.9623 1
As2 0.4680 0.7034 0.5379 1
Br1 0.1507 0.1912 0.8022 1
Br2 0.2372 0.1296 0.3128 1
O1 0.2676 0.4936 0.4701 1
O2 0.2876 0.4856 0.0794 1
O3 0.2937 0.6426 0.7593 1